Density functional theory data (PBE-GGA) for a relaxed CaPm4Sn3 crystal.

Calculated values
* raw total energy: -4.7146 eV/atom
* calculated volume: 502 Å³/cell
* crystal system: monoclinic
* spin magnetization: 0.0 Bohr magnetons per cell

a = 11.5174 Å, b = 5.0407 Å, c = 8.9002 Å
α = 90.00°, β = 103.59°, γ = 90.00°
Fractional coordinates of all 16 atoms:
Ca1 0.0000 0.0000 0.0000
Ca2 0.5000 0.5000 0.0000
Pm1 0.1442 0.0000 0.4487
Pm2 0.1604 0.5000 0.8337
Pm3 0.3396 0.0000 0.1663
Pm4 0.3558 0.5000 0.5513
Pm5 0.6442 0.5000 0.4487
Pm6 0.6604 0.0000 0.8337
Pm7 0.8396 0.5000 0.1663
Pm8 0.8558 0.0000 0.5513
Sn1 0.0000 0.5000 0.5000
Sn2 0.1678 0.5000 0.2052
Sn3 0.3322 0.0000 0.7948
Sn4 0.5000 0.0000 0.5000
Sn5 0.6678 0.0000 0.2052
Sn6 0.8322 0.5000 0.7948